Record 1
This record from Alexandria describes CrHg3Ru after structural relaxation. The functional is PBEsol.

a = 5.077 Å, b = 5.077 Å, c = 5.077 Å
α = 90.00°, β = 90.00°, γ = 90.00°
Atoms (fractional coordinates):
Cr (0.000, 0.000, 0.000)
Hg (0.000, 0.500, 0.500)
Hg (0.500, 0.000, 0.500)
Hg (0.500, 0.500, 0.000)
Ru (0.500, 0.500, 0.500)

Computed properties:
Uncorrected energy = -16.60 eV per formula unit

---

Record 2
This record from Alexandria describes LiAg2As after structural relaxation. The functional is PBEsol.

a = 4.818 Å, b = 4.818 Å, c = 4.818 Å
α = 129.71°, β = 129.71°, γ = 73.86°
Atoms (fractional coordinates):
Li (0.000, 0.000, 0.000)
Ag (0.250, 0.750, 0.500)
Ag (0.750, 0.250, 0.500)
As (0.500, 0.500, 0.000)

Computed properties:
Uncorrected energy = -14.51 eV per formula unit

---

Record 3
This record from Alexandria describes BeNiAg after structural relaxation. The functional is PBEsol.

a = 5.056 Å, b = 5.056 Å, c = 5.056 Å
α = 148.98°, β = 148.98°, γ = 44.45°
Atoms (fractional coordinates):
Be (0.000, 0.000, 0.000)
Ni (0.383, 0.383, 0.000)
Ag (0.678, 0.678, 0.000)

Computed properties:
Uncorrected energy = -13.69 eV per formula unit

---

Record 4
This record from Alexandria describes Pb2CCl after structural relaxation. The functional is PBEsol.

a = 4.874 Å, b = 4.874 Å, c = 4.874 Å
α = 60.00°, β = 60.00°, γ = 60.00°
Atoms (fractional coordinates):
Pb (0.250, 0.250, 0.250)
Pb (0.750, 0.750, 0.750)
C (0.000, 0.000, 0.000)
Cl (0.500, 0.500, 0.500)

Computed properties:
Uncorrected formation energy = 0.954 eV per atom